Record 1
The following is a DFT calculation (PBE-GGA) of a relaxed structure of Nd3Ag2Hg3Pt.

a = 7.8820 Å, b = 7.8820 Å, c = 4.0409 Å
α = 90.00°, β = 90.00°, γ = 120.00°
Sites, in units of the cell vectors:
Nd 0.0000 0.3847 0.0000
Nd 0.3847 0.0000 0.0000
Nd 0.6153 0.6153 0.0000
Ag 0.3333 0.6667 0.5000
Ag 0.6667 0.3333 0.5000
Hg 0.0000 0.7344 0.5000
Hg 0.2656 0.2656 0.5000
Hg 0.7344 0.0000 0.5000
Pt 0.0000 0.0000 0.0000

Values from the calculation:
Calculated volume, Å³ per cell: 217.41
Space group: P-62m (189)
E, eV/f.u.: -31.1
Formation enthalpy at 0 K, eV/atom: -0.4735

=====

Record 2
The following is a DFT calculation (PBE-GGA) of a relaxed structure of NdY2Zn3AgHg2.

a = 4.0984 Å, b = 7.6019 Å, c = 7.6019 Å
α = 120.36°, β = 90.00°, γ = 90.00°
Sites, in units of the cell vectors:
Nd 0.0000 0.0000 0.0000
Y 0.0000 0.4056 0.8093
Y 0.0000 0.8093 0.4056
Zn 0.5000 0.1630 0.4085
Zn 0.5000 0.4085 0.1630
Zn 0.5000 0.6494 0.6494
Ag 0.0000 0.4104 0.4104
Hg 0.5000 0.0753 0.7343
Hg 0.5000 0.7343 0.0753

Values from the calculation:
Calculated volume, Å³ per cell: 204.37
Space group: Amm2 (38)
E, eV/f.u.: -28.2
Formation enthalpy at 0 K, eV/atom: -0.3628

=====

Record 3
The following is a DFT calculation (PBE-GGA) of a relaxed structure of NiAgHgPb.

a = 4.8444 Å, b = 4.8444 Å, c = 4.8444 Å
α = 60.00°, β = 60.00°, γ = 60.00°
Sites, in units of the cell vectors:
Ni 0.0000 0.0000 0.0000
Ag 0.2500 0.2500 0.2500
Hg 0.5000 0.5000 0.5000
Pb 0.7500 0.7500 0.7500

Values from the calculation:
Calculated volume, Å³ per cell: 80.39
Space group: F-43m (216)
E, eV/f.u.: -11.2

=====

What is the formula in the first record?
Nd3Ag2Hg3Pt

=====

What did the third record say?
The following is a DFT calculation (PBE-GGA) of a relaxed structure of NiAgHgPb.

a = 4.8444 Å, b = 4.8444 Å, c = 4.8444 Å
α = 60.00°, β = 60.00°, γ = 60.00°
Sites, in units of the cell vectors:
Ni 0.0000 0.0000 0.0000
Ag 0.2500 0.2500 0.2500
Hg 0.5000 0.5000 0.5000
Pb 0.7500 0.7500 0.7500

Values from the calculation:
Calculated volume, Å³ per cell: 80.39
Space group: F-43m (216)
E, eV/f.u.: -11.2

=====

What is the formula in the third record?
NiAgHgPb

=====

Which of these has the lowest calculated volume?
NiAgHgPb